# 1
{"formula": "SmCdMo", "functional": "PBE", "state": "relaxed", "cell": [[-0.703, -4.800, 0.791], [-3.657, -1.500, 2.922], [-3.916, -2.261, -1.927]], "species": ["Cd", "Mo", "Sm"], "fractional_positions": [[0.250, 0.250, 0.250], [0.750, 0.750, 0.750], [0.000, 0.000, 0.000]], "magmom_total_mub_per_fu": 3.01, "polymorph_energy_mev_per_atom": 367, "formation_enthalpy_0k_kj_per_mol_atoms": 114.1}

# 2
{"formula": "Cd2SnMo", "functional": "PBE", "state": "relaxed", "cell": [[-3.449, -2.014, 2.720], [-3.943, 2.536, 1.170], [-4.270, -1.130, -1.960]], "species": ["Cd", "Cd", "Mo", "Sn"], "fractional_positions": [[0.000, 0.000, 0.000], [0.750, 0.750, 0.750], [0.250, 0.250, 0.250], [0.500, 0.500, 0.500]], "magmom_total_mub_per_fu": 0.03, "total_energy_ev_per_atom": -3.5925}

# 3
{"formula": "CdSnMo2", "functional": "PBE", "state": "relaxed", "cell": [[3.481, 1.229, 2.869], [-0.212, 4.046, 2.333], [-0.673, -0.002, 4.627]], "species": ["Cd", "Mo", "Mo", "Sn"], "fractional_positions": [[0.250, 0.250, 0.250], [0.000, 0.000, 0.000], [0.750, 0.750, 0.750], [0.500, 0.500, 0.500]], "magmom_total_mub_per_fu": 0.00, "total_energy_ev_per_atom": -6.1451}

# 4
{"formula": "Ta2CdMo", "functional": "PBE", "state": "relaxed", "cell": [[0.000, 3.296, 3.296], [3.296, 0.000, 3.296], [3.296, 3.296, 0.000]], "species": ["Cd", "Mo", "Ta", "Ta"], "fractional_positions": [[0.500, 0.500, 0.500], [0.250, 0.250, 0.250], [0.000, 0.000, 0.000], [0.750, 0.750, 0.750]], "magmom_total_mub_per_fu": 0.01, "formation_enthalpy_0k_kj_per_mol_atoms": 36.4}

# 5
{"formula": "TaCdMo2", "functional": "PBE", "state": "relaxed", "cell": [[0.000, 3.258, 3.258], [3.258, 0.000, 3.258], [3.258, 3.258, 0.000]], "species": ["Cd", "Mo", "Mo", "Ta"], "fractional_positions": [[0.750, 0.750, 0.750], [0.250, 0.250, 0.250], [0.500, 0.500, 0.500], [0.000, 0.000, 0.000]], "magmom_total_mub_per_fu": 0.00, "formation_enthalpy_0k_kj_per_mol_atoms": 41.1}

# 6
{"formula": "TbCdMo", "functional": "PBE", "state": "relaxed", "cell": [[0.922, -1.221, 4.550], [-2.530, -3.493, 2.107], [2.080, -4.214, 0.980]], "species": ["Cd", "Mo", "Tb"], "fractional_positions": [[0.250, 0.250, 0.250], [0.000, 0.000, 0.000], [0.750, 0.750, 0.750]], "magmom_total_mub_per_fu": 2.91, "formation_enthalpy_0k_kj_per_mol_atoms": 79.0}

# 7
{"formula": "Cd2TeMo", "functional": "PBE", "state": "relaxed", "cell": [[1.950, -2.254, 0.000], [1.950, 2.254, 0.000], [0.000, 0.000, 20.330]], "species": ["Cd", "Cd", "Cd", "Cd", "Mo", "Mo", "Te", "Te"], "fractional_positions": [[0.508, 0.492, 0.103], [0.508, 0.492, 0.397], [0.492, 0.508, 0.603], [0.492, 0.508, 0.897], [0.000, 0.000, 0.000], [0.000, 0.000, 0.500], [0.552, 0.448, 0.250], [0.448, 0.552, 0.750]], "magmom_total_mub_per_fu": 0.00, "total_energy_ev_per_atom": -3.6507}

# 8
{"formula": "TlCdMo2", "functional": "PBE", "state": "relaxed", "cell": [[-1.809, -3.193, -2.960], [-3.756, 1.089, -2.634], [0.471, 0.568, -4.657]], "species": ["Cd", "Mo", "Mo", "Tl"], "fractional_positions": [[0.250, 0.250, 0.250], [0.000, 0.000, 0.000], [0.750, 0.750, 0.750], [0.500, 0.500, 0.500]], "magmom_total_mub_per_fu": 0.01, "total_energy_ev_per_atom": -5.4721}